1.
Compound: RbSiAs2Br
Source: Alexandria via LeMat-Bulk
Functional: PBE
Structure: optimized geometry

a = 4.7743 Å, b = 4.7743 Å, c = 6.8433 Å
α = 90.00°, β = 90.00°, γ = 90.00°
Fractional positions:
1 Rb 0.0000 0.0000 0.0000
2 Si 0.5000 0.5000 0.5000
3 As 0.0000 0.5000 0.5000
4 As 0.5000 0.0000 0.5000
5 Br 0.5000 0.5000 0.0000

Calculated values
Energy above the most stable polymorph in this dataset, meV/atom: 0
E_form (uncorrected), eV per formula unit: -0.34
Size of the total moment, μB/cell: 0.00
Symmetry: P4/mmm (123)

---

2.
Compound: Rb2SnAsBr6
Source: Alexandria via LeMat-Bulk
Functional: PBE
Structure: optimized geometry

a = 8.0210 Å, b = 8.0210 Å, c = 8.0210 Å
α = 120.12°, β = 120.12°, γ = 89.79°
Fractional positions:
1 Rb 0.2500 0.7500 0.5000
2 Rb 0.7500 0.2500 0.5000
3 Sn 0.0000 0.0000 0.0000
4 As 0.5000 0.5000 0.0000
5 Br 0.2569 0.2569 0.0000
6 Br 0.2571 0.2571 0.5142
7 Br 0.2571 0.7429 0.0000
8 Br 0.7429 0.2571 0.0000
9 Br 0.7431 0.7431 0.0000
10 Br 0.7429 0.7429 0.4858

Calculated values
E_form (uncorrected), eV per formula unit: -9.62
Size of the total moment, μB/cell: 0.00
Symmetry: I4/mmm (139)

---

3.
Compound: RbSnAsBr2
Source: Alexandria via LeMat-Bulk
Functional: PBE
Structure: optimized geometry

a = 6.1098 Å, b = 6.1098 Å, c = 6.3071 Å
α = 90.00°, β = 90.00°, γ = 90.00°
Fractional positions:
1 Rb 0.0000 0.0000 0.0000
2 Sn 0.5000 0.5000 0.5000
3 As 0.0000 0.0000 0.5000
4 Br 0.0000 0.5000 0.0000
5 Br 0.5000 0.0000 0.0000

Calculated values
Energy above the most stable polymorph in this dataset, meV/atom: 884
E_form (uncorrected), eV per formula unit: 1.75
Size of the total moment, μB/cell: 2.00
Symmetry: P4/mmm (123)

---

4.
Compound: RbSnAsBr2
Source: Alexandria via LeMat-Bulk
Functional: PBE
Structure: optimized geometry

a = 5.9304 Å, b = 5.9304 Å, c = 5.3080 Å
α = 90.00°, β = 90.00°, γ = 90.00°
Fractional positions:
1 Rb 0.0000 0.0000 0.0000
2 Sn 0.5000 0.5000 0.5000
3 As 0.5000 0.5000 0.0000
4 Br 0.0000 0.5000 0.5000
5 Br 0.5000 0.0000 0.5000

Calculated values
Energy above the most stable polymorph in this dataset, meV/atom: 0
E_form (uncorrected), eV per formula unit: -2.67
Size of the total moment, μB/cell: 1.01
Symmetry: P4/mmm (123)

---

5.
Compound: RbTaAs2Br
Source: Alexandria via LeMat-Bulk
Functional: PBE
Structure: optimized geometry

a = 5.0127 Å, b = 5.0127 Å, c = 5.6536 Å
α = 90.00°, β = 90.00°, γ = 90.00°
Fractional positions:
1 Rb 0.0000 0.0000 0.0000
2 Ta 0.5000 0.5000 0.5000
3 As 0.0000 0.5000 0.5000
4 As 0.5000 0.0000 0.5000
5 Br 0.5000 0.5000 0.0000

Calculated values
Energy above the most stable polymorph in this dataset, meV/atom: 0
E_form (uncorrected), eV per formula unit: -1.93
Size of the total moment, μB/cell: 0.00
Symmetry: P4/mmm (123)

---

6.
Compound: RbTaAs2Br
Source: Alexandria via LeMat-Bulk
Functional: PBE
Structure: optimized geometry

a = 5.4759 Å, b = 5.4759 Å, c = 5.6476 Å
α = 90.00°, β = 90.00°, γ = 90.00°
Fractional positions:
1 Rb 0.0000 0.0000 0.0000
2 Ta 0.5000 0.5000 0.5000
3 As 0.0000 0.5000 0.0000
4 As 0.5000 0.0000 0.0000
5 Br 0.0000 0.0000 0.5000

Calculated values
Energy above the most stable polymorph in this dataset, meV/atom: 2356
E_form (uncorrected), eV per formula unit: 9.85
Size of the total moment, μB/cell: 1.48
Symmetry: P4/mmm (123)

---

7.
Compound: Rb2TaAsBr6
Source: Alexandria via LeMat-Bulk
Functional: PBE
Structure: optimized geometry

a = 7.9724 Å, b = 7.9724 Å, c = 7.9724 Å
α = 114.83°, β = 114.83°, γ = 99.21°
Fractional positions:
1 Rb 0.2500 0.7500 0.5000
2 Rb 0.7500 0.2500 0.5000
3 Ta 0.0000 0.0000 0.0000
4 As 0.5000 0.5000 0.0000
5 Br 0.2148 0.2148 0.4295
6 Br 0.2148 0.7852 0.0000
7 Br 0.2493 0.2493 0.0000
8 Br 0.7507 0.7507 0.0000
9 Br 0.7852 0.2148 0.0000
10 Br 0.7852 0.7852 0.5705

Calculated values
E_form (uncorrected), eV per formula unit: -7.98
Size of the total moment, μB/cell: 0.00
Symmetry: I4/mmm (139)

---

8.
Compound: Rb2TcAsBr6
Source: Alexandria via LeMat-Bulk
Functional: PBE
Structure: optimized geometry

a = 7.7778 Å, b = 7.7778 Å, c = 7.7778 Å
α = 120.48°, β = 120.48°, γ = 89.17°
Fractional positions:
1 Rb 0.2500 0.7500 0.5000
2 Rb 0.7500 0.2500 0.5000
3 Tc 0.0000 0.0000 0.0000
4 As 0.5000 0.5000 0.0000
5 Br 0.2398 0.2398 0.0000
6 Br 0.2436 0.2436 0.4871
7 Br 0.2436 0.7564 0.0000
8 Br 0.7564 0.2436 0.0000
9 Br 0.7564 0.7564 0.5129
10 Br 0.7602 0.7602 0.0000

Calculated values
E_form (uncorrected), eV per formula unit: -6.99
Size of the total moment, μB/cell: 3.68
Symmetry: I4/mmm (139)

---

9.
Compound: RbTcAsBr2
Source: Alexandria via LeMat-Bulk
Functional: PBE
Structure: optimized geometry

a = 6.4217 Å, b = 6.4217 Å, c = 6.3558 Å
α = 90.00°, β = 90.00°, γ = 90.00°
Fractional positions:
1 Rb 0.0000 0.0000 0.0000
2 Tc 0.5000 0.5000 0.5000
3 As 0.0000 0.0000 0.5000
4 Br 0.0000 0.5000 0.0000
5 Br 0.5000 0.0000 0.0000

Calculated values
Energy above the most stable polymorph in this dataset, meV/atom: 1547
E_form (uncorrected), eV per formula unit: 5.98
Size of the total moment, μB/cell: 8.48
Symmetry: P4/mmm (123)

---

10.
Compound: RbTcAsBr2
Source: Alexandria via LeMat-Bulk
Functional: PBE
Structure: optimized geometry

a = 5.5400 Å, b = 5.5400 Å, c = 4.7512 Å
α = 90.00°, β = 90.00°, γ = 90.00°
Fractional positions:
1 Rb 0.0000 0.0000 0.0000
2 Tc 0.5000 0.5000 0.5000
3 As 0.5000 0.5000 0.0000
4 Br 0.0000 0.5000 0.5000
5 Br 0.5000 0.0000 0.5000

Calculated values
Energy above the most stable polymorph in this dataset, meV/atom: 0
E_form (uncorrected), eV per formula unit: -1.75
Size of the total moment, μB/cell: 1.86
Symmetry: P4/mmm (123)

---

11.
Compound: RbTeAsBr2
Source: Alexandria via LeMat-Bulk
Functional: PBE
Structure: optimized geometry

a = 6.1202 Å, b = 6.1202 Å, c = 5.1454 Å
α = 90.00°, β = 90.00°, γ = 90.00°
Fractional positions:
1 Rb 0.0000 0.0000 0.0000
2 Te 0.5000 0.5000 0.5000
3 As 0.5000 0.5000 0.0000
4 Br 0.0000 0.5000 0.5000
5 Br 0.5000 0.0000 0.5000

Calculated values
Energy above the most stable polymorph in this dataset, meV/atom: 0
E_form (uncorrected), eV per formula unit: -1.92
Size of the total moment, μB/cell: 0.00
Symmetry: P4/mmm (123)

---

12.
Compound: RbTeAs2Br
Source: Alexandria via LeMat-Bulk
Functional: PBE
Structure: optimized geometry

a = 6.9768 Å, b = 6.9768 Å, c = 6.1661 Å
α = 90.00°, β = 90.00°, γ = 90.00°
Fractional positions:
1 Rb 0.0000 0.0000 0.0000
2 Te 0.5000 0.5000 0.5000
3 As 0.0000 0.5000 0.0000
4 As 0.5000 0.0000 0.0000
5 Br 0.0000 0.0000 0.5000

Calculated values
Energy above the most stable polymorph in this dataset, meV/atom: 988
E_form (uncorrected), eV per formula unit: 5.29
Size of the total moment, μB/cell: 3.96
Symmetry: P4/mmm (123)